No. 1
First-principles (PBE-GGA) data for a relaxed structure of YNi2Ag2, as listed in the Alexandria database.

```
YNi2Ag2
1.0
-2.411 6.902 -1.611
-6.767 -2.747 -1.643
-0.862 0.379 2.916
Y Ni Ag
2 4 4
Direct
0.000 0.000 0.000
0.500 0.500 0.000
0.167 0.667 0.500
0.667 0.833 0.500
0.833 0.333 0.500
0.333 0.167 0.500
0.370 0.870 0.000
0.870 0.630 0.000
0.630 0.130 0.000
0.130 0.370 0.000
```

Properties
Polymorph energy (0 for the lowest one), eV/atom: 0.2047
N(E_F), states/eV per atom: 0.4737
Total magnetization, μB/f.u.: 0.0
Energy relative to the elements, meV per atom: 83

No. 2
First-principles (PBE-GGA) data for a relaxed structure of Zn5NiAg, as listed in the Alexandria database.

```
Zn5NiAg
1.0
4.216 0.000 0.000
0.000 4.216 0.000
0.000 0.000 6.090
Zn Ni Ag
5 1 1
Direct
0.000 0.500 0.788
0.000 0.500 0.212
0.500 0.000 0.788
0.500 0.000 0.212
0.500 0.500 0.500
0.500 0.500 0.000
0.000 0.000 0.500
```

Properties
N(E_F), states/eV per atom: 0.3849
Total magnetization, μB/f.u.: 0.0
Energy relative to the elements, meV per atom: -44

No. 3
First-principles (PBE-GGA) data for a relaxed structure of Zn2NiAg, as listed in the Alexandria database.

```
Zn2NiAg
1.0
-2.518 1.367 -2.457
-1.716 -3.360 -0.112
-7.352 1.453 5.443
Ni Zn Ag
2 4 2
Direct
0.500 0.500 0.000
0.250 0.750 0.500
0.603 0.125 0.250
0.147 0.625 0.250
0.375 0.397 0.750
0.875 0.853 0.750
0.000 0.000 0.000
0.750 0.250 0.500
```

Properties
N(E_F), states/eV per atom: 0.3146
Total magnetization, μB/f.u.: 0.0
Energy relative to the elements, meV per atom: 197

| no. | total DFT energy (no corrections) (eV/atom) |
| --- | --- |
| 1 | -4.663 |
| 2 | -2.187 |
| 3 | -2.598 |